(1)
Computed, not measured: NaMg2 after structural relaxation at the PBE-GGA level of DFT.

Calculated values
ΔH_f (0 K): 0.18 eV per atom

Cell: 5.4346 3.2630 19.9260 Å, 90.00 90.00 90.00°
Atoms (fractional coordinates):
Na (0.5000, 0.2500, 0.8707)
Mg (0.0000, 0.7500, 0.7860)
Mg (0.0000, 0.2500, 0.0629)
Mg (0.5000, 0.2500, 0.4371)
Mg (0.5000, 0.2500, 0.2860)
Mg (0.0000, 0.7500, 0.9371)
Na (0.0000, 0.2500, 0.6293)
Mg (0.5000, 0.7500, 0.7140)
Na (0.0000, 0.7500, 0.3707)
Na (0.5000, 0.7500, 0.1293)
Mg (0.5000, 0.7500, 0.5629)
Mg (0.0000, 0.2500, 0.2140)



(2)
Computed, not measured: Na3Mg2 after structural relaxation at the PBE-GGA level of DFT.

Calculated values
polymorph energy (0 for the lowest one): 0.091 eV per atom
ΔH_f (0 K): 0.17 eV per atom

Cell: 5.4130 5.4130 6.7572 Å, 90.00 90.00 120.00°
Atoms (fractional coordinates):
Na (0.3333, 0.6667, 0.3734)
Mg (0.3333, 0.6667, 0.8938)
Na (0.0000, 0.0000, 0.0000)
Na (0.6667, 0.3333, 0.6266)
Mg (0.6667, 0.3333, 0.1062)



(3)
Computed, not measured: NaMg after structural relaxation at the PBE-GGA level of DFT.

Calculated values
ΔH_f (0 K): 0.18 eV per atom

Cell: 6.1652 6.1652 6.1652 Å, 90.00 90.00 90.00°
Atoms (fractional coordinates):
Na (0.4039, 0.4039, 0.4039)
Na (0.9039, 0.0961, 0.5961)
Na (0.0961, 0.5961, 0.9039)
Mg (0.6014, 0.3986, 0.8986)
Mg (0.1014, 0.1014, 0.1014)
Mg (0.3986, 0.8986, 0.6014)
Mg (0.8986, 0.6014, 0.3986)
Na (0.5961, 0.9039, 0.0961)



- Which of these has the lowest ΔH_f (0 K)?
  Na3Mg2